one) # ScI3N (PBE, optimized geometry)
# **Size of the total moment**: 3.00 μB/f.u.
# **Calculated volume**: 191.6 Å³/cell
data_ScI3N
_chemical_formula_sum 'Sc1 I3 N1'
_cell_length_a 5.7647
_cell_length_b 5.7647
_cell_length_c 5.7647
_cell_angle_alpha 90.00
_cell_angle_beta 90.00
_cell_angle_gamma 90.00
_space_group_name_H-M_alt 'P m -3 m'
_space_group_IT_number 221
_space_group_name_Hall '-P 4 2 3'
loop_
_atom_site_label
_atom_site_fract_x
_atom_site_fract_y
_atom_site_fract_z
Sc1 0.0000 0.0000 0.0000
I1 0.0000 0.0000 0.5000
N1 0.5000 0.5000 0.5000

two) # ScI3N (PBE, optimized geometry)
# **Size of the total moment**: 1.04 μB/f.u.
# **Calculated volume**: 402.6 Å³/cell
data_ScI3N
_chemical_formula_sum 'Sc2 I6 N2'
_cell_length_a 5.6449
_cell_length_b 7.6459
_cell_length_c 10.1628
_cell_angle_alpha 98.23
_cell_angle_beta 90.67
_cell_angle_gamma 111.60
_space_group_name_H-M_alt 'P -1'
_space_group_IT_number 2
loop_
_space_group_symop_operation_xyz
'x,y,z'
'-x,-y,-z'
loop_
_atom_site_label
_atom_site_fract_x
_atom_site_fract_y
_atom_site_fract_z
Sc1 0.0734 0.1387 0.1916
I1 0.1303 0.2646 0.9371
I2 0.2734 0.5346 0.3365
I3 0.4561 0.9237 0.7416
N1 0.1441 0.2703 0.3838

Which of them is the most stable? Correct choice: two).

one) # ScI2N (PBE, optimized geometry)
# **Size of the total moment**: 2.00 μB/f.u.
# **Calculated volume**: 381.8 Å³/cell
data_ScI2N
_chemical_formula_sum 'Sc4 I8 N4'
_cell_length_a 7.2549
_cell_length_b 7.2549
_cell_length_c 7.2549
_cell_angle_alpha 90.00
_cell_angle_beta 90.00
_cell_angle_gamma 90.00
_space_group_name_H-M_alt 'F m -3 m'
_space_group_IT_number 225
_space_group_name_Hall '-F 4 2 3'
loop_
_atom_site_label
_atom_site_fract_x
_atom_site_fract_y
_atom_site_fract_z
Sc1 0.0000 0.0000 0.0000
I1 0.2500 0.2500 0.2500
N1 0.0000 0.0000 0.5000

two) # ScI2N (PBE, optimized geometry)
# **Size of the total moment**: 2.00 μB/f.u.
# **Calculated volume**: 615.5 Å³/cell
data_ScI2N
_chemical_formula_sum 'Sc4 I8 N4'
_cell_length_a 7.6577
_cell_length_b 7.6577
_cell_length_c 10.4957
_cell_angle_alpha 90.00
_cell_angle_beta 90.00
_cell_angle_gamma 90.00
_space_group_name_H-M_alt 'I -4 2 d'
_space_group_IT_number 122
_space_group_name_Hall 'I -4 2bw'
loop_
_atom_site_label
_atom_site_fract_x
_atom_site_fract_y
_atom_site_fract_z
Sc1 0.0000 0.0000 0.0000
I1 0.2098 0.2500 0.1250
N1 0.0000 0.0000 0.5000

Which of them is the most stable? Correct choice: one).

one) # ScSeIN2 (PBE, optimized geometry)
# **Size of the total moment**: 3.57 μB/f.u.
# **Calculated volume**: 113.9 Å³/cell
data_ScSeIN2
_chemical_formula_sum 'Sc1 Se1 I1 N2'
_cell_length_a 4.2884
_cell_length_b 4.2884
_cell_length_c 6.1939
_cell_angle_alpha 90.00
_cell_angle_beta 90.00
_cell_angle_gamma 90.00
_space_group_name_H-M_alt 'P 4/m m m'
_space_group_IT_number 123
_space_group_name_Hall '-P 4 2'
loop_
_atom_site_label
_atom_site_fract_x
_atom_site_fract_y
_atom_site_fract_z
Sc1 0.0000 0.0000 0.0000
Se1 0.5000 0.5000 0.5000
I1 0.0000 0.0000 0.5000
N1 0.0000 0.5000 0.0000

two) # ScSeIN2 (PBE, optimized geometry)
# **Size of the total moment**: 0.00 μB/f.u.
# **Calculated volume**: 89.2 Å³/cell
data_ScSeIN2
_chemical_formula_sum 'Sc1 Se1 I1 N2'
_cell_length_a 4.0579
_cell_length_b 4.0579
_cell_length_c 5.4185
_cell_angle_alpha 90.00
_cell_angle_beta 90.00
_cell_angle_gamma 90.00
_space_group_name_H-M_alt 'P 4/m m m'
_space_group_IT_number 123
_space_group_name_Hall '-P 4 2'
loop_
_atom_site_label
_atom_site_fract_x
_atom_site_fract_y
_atom_site_fract_z
Sc1 0.0000 0.0000 0.0000
Se1 0.5000 0.5000 0.5000
I1 0.5000 0.5000 0.0000
N1 0.0000 0.5000 0.5000

three) # ScSeIN2 (PBE, optimized geometry)
# **Size of the total moment**: 3.63 μB/f.u.
# **Calculated volume**: 107.3 Å³/cell
data_ScSeIN2
_chemical_formula_sum 'Sc1 Se1 I1 N2'
_cell_length_a 4.3236
_cell_length_b 4.3236
_cell_length_c 5.7390
_cell_angle_alpha 90.00
_cell_angle_beta 90.00
_cell_angle_gamma 90.00
_space_group_name_H-M_alt 'P 4/m m m'
_space_group_IT_number 123
_space_group_name_Hall '-P 4 2'
loop_
_atom_site_label
_atom_site_fract_x
_atom_site_fract_y
_atom_site_fract_z
Sc1 0.0000 0.0000 0.0000
Se1 0.0000 0.0000 0.5000
I1 0.5000 0.5000 0.5000
N1 0.0000 0.5000 0.0000

Which of them is the most stable? Correct choice: three).

one) # ScSeI2N (PBE, optimized geometry)
# **Size of the total moment**: 0.00 μB/f.u.
# **Calculated volume**: 137.2 Å³/cell
data_ScSeI2N
_chemical_formula_sum 'Sc1 Se1 I2 N1'
_cell_length_a 6.0827
_cell_length_b 6.0827
_cell_length_c 3.7089
_cell_angle_alpha 90.00
_cell_angle_beta 90.00
_cell_angle_gamma 90.00
_space_group_name_H-M_alt 'P 4/m m m'
_space_group_IT_number 123
_space_group_name_Hall '-P 4 2'
loop_
_atom_site_label
_atom_site_fract_x
_atom_site_fract_y
_atom_site_fract_z
Sc1 0.0000 0.0000 0.0000
Se1 0.5000 0.5000 0.5000
I1 0.0000 0.5000 0.5000
N1 0.5000 0.5000 0.0000

two) # ScSeI2N (PBE, optimized geometry)
# **Size of the total moment**: 0.00 μB/f.u.
# **Calculated volume**: 135.7 Å³/cell
data_ScSeI2N
_chemical_formula_sum 'Sc1 Se1 I2 N1'
_cell_length_a 5.8866
_cell_length_b 5.8866
_cell_length_c 3.9162
_cell_angle_alpha 90.00
_cell_angle_beta 90.00
_cell_angle_gamma 90.00
_space_group_name_H-M_alt 'P 4/m m m'
_space_group_IT_number 123
_space_group_name_Hall '-P 4 2'
loop_
_atom_site_label
_atom_site_fract_x
_atom_site_fract_y
_atom_site_fract_z
Sc1 0.0000 0.0000 0.0000
Se1 0.5000 0.5000 0.5000
I1 0.0000 0.5000 0.0000
N1 0.0000 0.0000 0.5000

Which of them is the most stable? Correct choice: two).

one) # ScSnI2N (PBE, optimized geometry)
# **Size of the total moment**: 0.25 μB/f.u.
# **Calculated volume**: 141.6 Å³/cell
data_ScSnI2N
_chemical_formula_sum 'Sc1 Sn1 I2 N1'
_cell_length_a 6.0066
_cell_length_b 6.0066
_cell_length_c 3.9242
_cell_angle_alpha 90.00
_cell_angle_beta 90.00
_cell_angle_gamma 90.00
_space_group_name_H-M_alt 'P 4/m m m'
_space_group_IT_number 123
_space_group_name_Hall '-P 4 2'
loop_
_atom_site_label
_atom_site_fract_x
_atom_site_fract_y
_atom_site_fract_z
Sc1 0.0000 0.0000 0.0000
Sn1 0.5000 0.5000 0.5000
I1 0.0000 0.5000 0.0000
N1 0.0000 0.0000 0.5000

two) # ScSnI2N (PBE, optimized geometry)
# **Size of the total moment**: 1.32 μB/f.u.
# **Calculated volume**: 149.3 Å³/cell
data_ScSnI2N
_chemical_formula_sum 'Sc1 Sn1 I2 N1'
_cell_length_a 6.1796
_cell_length_b 6.1796
_cell_length_c 3.9084
_cell_angle_alpha 90.00
_cell_angle_beta 90.00
_cell_angle_gamma 90.00
_space_group_name_H-M_alt 'P 4/m m m'
_space_group_IT_number 123
_space_group_name_Hall '-P 4 2'
loop_
_atom_site_label
_atom_site_fract_x
_atom_site_fract_y
_atom_site_fract_z
Sc1 0.0000 0.0000 0.0000
Sn1 0.5000 0.5000 0.5000
I1 0.0000 0.5000 0.5000
N1 0.5000 0.5000 0.0000

Which of them is the most stable? Correct choice: one).

one) # SrScIN2 (PBE, optimized geometry)
# **Size of the total moment**: 2.01 μB/f.u.
# **Calculated volume**: 136.7 Å³/cell
data_SrScIN2
_chemical_formula_sum 'Sr1 Sc1 I1 N2'
_cell_length_a 4.7269
_cell_length_b 4.7269
_cell_length_c 6.1198
_cell_angle_alpha 90.00
_cell_angle_beta 90.00
_cell_angle_gamma 90.00
_space_group_name_H-M_alt 'P 4/m m m'
_space_group_IT_number 123
_space_group_name_Hall '-P 4 2'
loop_
_atom_site_label
_atom_site_fract_x
_atom_site_fract_y
_atom_site_fract_z
Sr1 0.0000 0.0000 0.0000
Sc1 0.5000 0.5000 0.5000
I1 0.0000 0.0000 0.5000
N1 0.0000 0.5000 0.0000

two) # SrScIN2 (PBE, optimized geometry)
# **Size of the total moment**: 0.00 μB/f.u.
# **Calculated volume**: 109.0 Å³/cell
data_SrScIN2
_chemical_formula_sum 'Sr1 Sc1 I1 N2'
_cell_length_a 4.3654
_cell_length_b 4.3654
_cell_length_c 5.7189
_cell_angle_alpha 90.00
_cell_angle_beta 90.00
_cell_angle_gamma 90.00
_space_group_name_H-M_alt 'P 4/m m m'
_space_group_IT_number 123
_space_group_name_Hall '-P 4 2'
loop_
_atom_site_label
_atom_site_fract_x
_atom_site_fract_y
_atom_site_fract_z
Sr1 0.0000 0.0000 0.0000
Sc1 0.5000 0.5000 0.5000
I1 0.5000 0.5000 0.0000
N1 0.0000 0.5000 0.5000

Which of them is the most stable? Correct choice: two).

one) # ScTlIN2 (PBE, optimized geometry)
# **Size of the total moment**: 3.01 μB/f.u.
# **Calculated volume**: 120.7 Å³/cell
data_ScTlIN2
_chemical_formula_sum 'Sc1 Tl1 I1 N2'
_cell_length_a 4.5192
_cell_length_b 4.5192
_cell_length_c 5.9099
_cell_angle_alpha 90.00
_cell_angle_beta 90.00
_cell_angle_gamma 90.00
_space_group_name_H-M_alt 'P 4/m m m'
_space_group_IT_number 123
_space_group_name_Hall '-P 4 2'
loop_
_atom_site_label
_atom_site_fract_x
_atom_site_fract_y
_atom_site_fract_z
Sc1 0.0000 0.0000 0.0000
Tl1 0.5000 0.5000 0.5000
I1 0.0000 0.0000 0.5000
N1 0.0000 0.5000 0.0000

two) # ScTlIN2 (PBE, optimized geometry)
# **Size of the total moment**: 0.00 μB/f.u.
# **Calculated volume**: 110.6 Å³/cell
data_ScTlIN2
_chemical_formula_sum 'Sc1 Tl1 I1 N2'
_cell_length_a 4.3063
_cell_length_b 4.3063
_cell_length_c 5.9619
_cell_angle_alpha 90.00
_cell_angle_beta 90.00
_cell_angle_gamma 90.00
_space_group_name_H-M_alt 'P 4/m m m'
_space_group_IT_number 123
_space_group_name_Hall '-P 4 2'
loop_
_atom_site_label
_atom_site_fract_x
_atom_site_fract_y
_atom_site_fract_z
Sc1 0.0000 0.0000 0.0000
Tl1 0.5000 0.5000 0.5000
I1 0.5000 0.5000 0.0000
N1 0.0000 0.5000 0.5000

Which of them is the most stable? Correct choice: one).

one) # ScVIN2 (PBE, optimized geometry)
# **Size of the total moment**: 0.53 μB/f.u.
# **Calculated volume**: 96.7 Å³/cell
data_ScVIN2
_chemical_formula_sum 'Sc1 V1 I1 N2'
_cell_length_a 4.1151
_cell_length_b 4.1151
_cell_length_c 5.7113
_cell_angle_alpha 90.00
_cell_angle_beta 90.00
_cell_angle_gamma 90.00
_space_group_name_H-M_alt 'P 4/m m m'
_space_group_IT_number 123
_space_group_name_Hall '-P 4 2'
loop_
_atom_site_label
_atom_site_fract_x
_atom_site_fract_y
_atom_site_fract_z
Sc1 0.0000 0.0000 0.0000
V1 0.5000 0.5000 0.5000
I1 0.0000 0.0000 0.5000
N1 0.0000 0.5000 0.0000

two) # ScVIN2 (PBE, optimized geometry)
# **Size of the total moment**: 0.00 μB/f.u.
# **Calculated volume**: 81.2 Å³/cell
data_ScVIN2
_chemical_formula_sum 'Sc1 V1 I1 N2'
_cell_length_a 3.9260
_cell_length_b 3.9260
_cell_length_c 5.2715
_cell_angle_alpha 90.00
_cell_angle_beta 90.00
_cell_angle_gamma 90.00
_space_group_name_H-M_alt 'P 4/m m m'
_space_group_IT_number 123
_space_group_name_Hall '-P 4 2'
loop_
_atom_site_label
_atom_site_fract_x
_atom_site_fract_y
_atom_site_fract_z
Sc1 0.0000 0.0000 0.0000
V1 0.5000 0.5000 0.5000
I1 0.5000 0.5000 0.0000
N1 0.0000 0.5000 0.5000

Which of them is the most stable? Correct choice: two).